No. 1
CoHg2P2: optimized geometry, PBE-GGA.

a = 5.6413 Å, b = 5.6413 Å, c = 6.1627 Å
α = 90.00°, β = 90.00°, γ = 90.00°
Space group P4/mbm (No. 127)
Inequivalent atoms, fractional coordinates:
Co 0.0000 0.0000 0.0000 x2
Hg 0.1952 0.3048 0.5000 x4
P 0.1388 0.6388 0.0000 x4

Values from the calculation:
As for the formation energy: 0.047 eV per atom. For the volume, the calculation gives 19.61 A^3/atom. For the total energy, the calculation gives -3.66 eV per atom.

---

No. 2
CoHgP: optimized geometry, PBE-GGA.

a = 5.9222 Å, b = 3.0624 Å, c = 5.9589 Å
α = 90.00°, β = 109.62°, γ = 90.00°
Space group Pm (No. 6)
Inequivalent atoms, fractional coordinates:
Co 0.0000 0.0000 0.0000 x1
Co 0.4485 0.5000 0.1278 x1
Hg 0.1479 0.5000 0.6824 x1
Hg 0.6534 0.0000 0.5400 x1
P 0.1368 0.5000 0.2549 x1
P 0.6511 0.0000 0.0295 x1

Values from the calculation:
As for the formation energy: -0.059 eV per atom. For the volume, the calculation gives 16.97 A^3/atom. For the total energy, the calculation gives -4.33 eV per atom. For the energy relative to the lowest polymorph listed for this composition, the calculation gives 3.9 kJ/mol of atoms.